An optimized crystal structure of La2Mg. Source: the Alexandria database, functional GGA-PBEsol. Values from VASP.

The structure in Quantum ESPRESSO input format:
```
&SYSTEM
  ibrav = 0, nat = 6, ntyp = 2
/
ATOMIC_SPECIES
La 138.91 La.upf
Mg 24.30 Mg.upf
CELL_PARAMETERS angstrom
-2.877 -1.100 1.798
3.147 -3.755 2.739
3.150 6.747 5.633
ATOMIC_POSITIONS angstrom
La 1.563 1.871 3.646
La 1.858 0.021 6.523
La -0.469 -0.828 2.279
La 3.890 2.721 7.889
Mg 0.681 3.335 6.667
Mg 2.740 -1.443 3.501
```

Output
- energy above the most stable polymorph in this dataset (eV per formula unit) = 0.10
- energy of formation (eV per atom) = -0.003